Entry 1:
ZrMoNF2: optimized geometry, GGA+U.

Unit cell a=4.1266 b=4.1266 c=4.3699 alpha=90.00 beta=90.00 gamma=90.00
Last column: nearest neighbours and their distance in Å.
Element x y z (fractional)
Zr: 0.0000 0.0000 0.0000  4 N 2.92, 8 F 3.01
Mo: 0.5000 0.5000 0.5000  4 F 2.06, 2 N 2.18
N: 0.5000 0.5000 0.0000  2 Mo 2.18
F: 0.0000 0.5000 0.5000  2 Mo 2.06
F: 0.5000 0.0000 0.5000  2 Mo 2.06

Calculated volume = 14.9 Å³ per atom
E above lowest polymorph = 665 meV per atom
Calculated total energy = -6.190 eV/atom
Total magnetic moment = 4.90 μB/cell

***

Entry 2:
ZrMoN2F: optimized geometry, GGA+U.

Unit cell a=4.0965 b=4.0965 c=3.9279 alpha=90.00 beta=90.00 gamma=90.00
Last column: nearest neighbours and their distance in Å.
Element x y z (fractional)
Zr: 0.0000 0.0000 0.0000  8 N 2.84, 4 F 2.90
Mo: 0.5000 0.5000 0.5000  2 F 1.96, 4 N 2.05
N: 0.0000 0.5000 0.5000  2 Mo 2.05
N: 0.5000 0.0000 0.5000  2 Mo 2.05
F: 0.5000 0.5000 0.0000  2 Mo 1.96

Calculated volume = 13.2 Å³ per atom
E above lowest polymorph = 143 meV per atom
Calculated total energy = -7.082 eV/atom
Total magnetic moment = 2.56 μB/cell

***

Entry 3:
ZrMoN2F: optimized geometry, GGA+U.

Unit cell a=4.2825 b=4.2825 c=4.0817 alpha=90.00 beta=90.00 gamma=90.00
Last column: nearest neighbours and their distance in Å.
Element x y z (fractional)
Zr: 0.0000 0.0000 0.0000  2 F 2.04, 4 N 2.14
Mo: 0.5000 0.5000 0.5000  8 N 2.96, 4 F 3.03
N: 0.0000 0.5000 0.0000  2 Zr 2.14
N: 0.5000 0.0000 0.0000  2 Zr 2.14
F: 0.0000 0.0000 0.5000  2 Zr 2.04

Calculated volume = 15.0 Å³ per atom
E above lowest polymorph = 0 meV per atom
Calculated total energy = -7.225 eV/atom
Total magnetic moment = 3.02 μB/cell

***

Entry 4:
Na2MoF6: optimized geometry, GGA+U.

Unit cell a=5.8820 b=5.6493 c=10.1843 alpha=90.00 beta=120.10 gamma=90.00
Last column: nearest neighbours and their distance in Å.
Element x y z (fractional)
Na: 0.1820 0.0284 0.2011  6 F 2.27-2.43
Na: 0.1820 0.4716 0.7011  6 F 2.27-2.43
Na: 0.8180 0.5284 0.2989  6 F 2.27-2.43
Na: 0.8180 0.9716 0.7989  6 F 2.27-2.43
Mo: 0.5000 0.0000 0.0000  6 F 1.98-2.03
Mo: 0.5000 0.5000 0.5000  6 F 1.98-2.03
F: 0.1879 0.1770 0.9864  1 Mo 2.03
F: 0.1879 0.3230 0.4864  1 Mo 2.03
F: 0.2240 0.7227 0.3568  1 Mo 1.99
F: 0.2240 0.7773 0.8568  1 Mo 1.99
F: 0.4819 0.1774 0.8273  1 Mo 1.98
F: 0.4819 0.3226 0.3273  1 Mo 1.98
F: 0.5181 0.6774 0.6727  1 Mo 1.98
F: 0.5181 0.8226 0.1727  1 Mo 1.98
F: 0.7760 0.2227 0.1432  1 Mo 1.99
F: 0.7760 0.2773 0.6432  1 Mo 1.99
F: 0.8121 0.6770 0.5135  1 Mo 2.03
F: 0.8121 0.8230 0.0136  1 Mo 2.03

Calculated volume = 16.3 Å³ per atom
Calculated total energy = -5.026 eV/atom
Total magnetic moment = 4.00 μB/cell

***

Entry 5:
Na2MoF6: optimized geometry, GGA+U.

Unit cell a=5.1484 b=5.1484 c=10.2401 alpha=90.00 beta=90.00 gamma=90.00
Last column: nearest neighbours and their distance in Å.
Element x y z (fractional)
Na: 0.0000 0.0000 0.1658  6 F 2.28-2.38
Na: 0.0000 0.0000 0.8342  6 F 2.28-2.38
Na: 0.5000 0.5000 0.3342  6 F 2.28-2.38
Na: 0.5000 0.5000 0.6658  6 F 2.28-2.38
Mo: 0.0000 0.0000 0.5000  6 F 1.99-2.02
Mo: 0.5000 0.5000 0.0000  6 F 1.99-2.02
F: 0.1882 0.1882 0.3556  1 Mo 2.02
F: 0.1882 0.1882 0.6444  1 Mo 2.02
F: 0.2271 0.2271 0.0000  1 Mo 1.99
F: 0.2729 0.7271 0.5000  1 Mo 1.99
F: 0.3118 0.6882 0.1444  1 Mo 2.02
F: 0.3118 0.6882 0.8556  1 Mo 2.02
F: 0.6882 0.3118 0.1444  1 Mo 2.02
F: 0.6882 0.3118 0.8556  1 Mo 2.02
F: 0.7271 0.2729 0.5000  1 Mo 1.99
F: 0.7729 0.7729 0.0000  1 Mo 1.99
F: 0.8118 0.8118 0.3556  1 Mo 2.02
F: 0.8118 0.8118 0.6444  1 Mo 2.02

Calculated volume = 15.1 Å³ per atom
Calculated total energy = -5.048 eV/atom
Total magnetic moment = 4.00 μB/cell

***

Entry 6:
NaMo3F: optimized geometry, GGA+U.

Unit cell a=5.5961 b=5.5961 c=5.5961 alpha=90.00 beta=90.00 gamma=90.00
Last column: nearest neighbours and their distance in Å.
Element x y z (fractional)
Na: 0.0000 0.0000 0.0000  6 Mo 2.80
Mo: 0.0000 0.0000 0.5000  2 Na 2.80
Mo: 0.0000 0.5000 0.0000  2 Na 2.80
Mo: 0.5000 0.0000 0.0000  2 Na 2.80
F: 0.5000 0.5000 0.5000  12 Mo 3.96

Calculated volume = 35.0 Å³ per atom
E above lowest polymorph = 187 meV per atom
Calculated total energy = -3.097 eV/atom
Total magnetic moment = 15.84 μB/cell

***

Entry 7:
Na3MoF7: optimized geometry, GGA+U.

Unit cell a=5.5076 b=5.5076 c=6.1907 alpha=112.72 beta=112.72 gamma=92.52
Last column: nearest neighbours and their distance in Å.
Element x y z (fractional)
Na: 0.0000 0.0000 0.0000  5 F 2.26-2.33
Na: 0.2996 0.7568 0.5737  7 F 2.35-2.48
Na: 0.7568 0.2996 0.5737  7 F 2.35-2.48
Mo: 0.4793 0.4793 0.0391  7 F 2.03-2.09
F: 0.1524 0.1524 0.7625  1 Mo 2.09, 1 Na 2.33
F: 0.1689 0.6279 0.8471  1 Mo 2.08, 1 Na 2.30
F: 0.3572 0.3572 0.2687  1 Mo 2.09, 1 Na 2.26
F: 0.5146 0.8466 0.3185  1 Mo 2.03
F: 0.6279 0.1689 0.8471  1 Mo 2.08, 1 Na 2.30
F: 0.6577 0.6577 0.8828  1 Mo 2.06, 1 Na 2.28
F: 0.8466 0.5146 0.3185  1 Mo 2.03

Calculated volume = 14.1 Å³ per atom
Calculated total energy = -4.913 eV/atom
Total magnetic moment = 2.00 μB/cell

***

Entry 8:
NaMo2F: optimized geometry, GGA+U.

Unit cell a=7.1624 b=7.1624 c=7.1624 alpha=90.00 beta=90.00 gamma=90.00
Last column: nearest neighbours and their distance in Å.
Element x y z (fractional)
Na: 0.0000 0.0000 0.0000  8 Mo 3.10
Na: 0.0000 0.5000 0.5000  8 Mo 3.10
Na: 0.5000 0.0000 0.5000  8 Mo 3.10
Na: 0.5000 0.5000 0.0000  8 Mo 3.10
Mo: 0.2500 0.2500 0.2500  4 F 3.10, 4 Na 3.10
Mo: 0.2500 0.2500 0.7500  4 F 3.10, 4 Na 3.10
Mo: 0.2500 0.7500 0.2500  4 F 3.10, 4 Na 3.10
Mo: 0.2500 0.7500 0.7500  4 F 3.10, 4 Na 3.10
Mo: 0.7500 0.2500 0.2500  4 F 3.10, 4 Na 3.10
Mo: 0.7500 0.2500 0.7500  4 F 3.10, 4 Na 3.10
Mo: 0.7500 0.7500 0.2500  4 F 3.10, 4 Na 3.10
Mo: 0.7500 0.7500 0.7500  4 F 3.10, 4 Na 3.10
F: 0.0000 0.0000 0.5000  8 Mo 3.10
F: 0.0000 0.5000 0.0000  8 Mo 3.10
F: 0.5000 0.0000 0.0000  8 Mo 3.10
F: 0.5000 0.5000 0.5000  8 Mo 3.10

Calculated volume = 23.0 Å³ per atom
Calculated total energy = -3.583 eV/atom
Total magnetic moment = 40.09 μB/cell

***

Entry 9:
NaMo2F11: optimized geometry, GGA+U.

Unit cell a=8.4227 b=8.4227 c=8.4227 alpha=113.66 beta=112.33 gamma=102.64
Last column: nearest neighbours and their distance in Å.
Element x y z (fractional)
Na: 0.2500 0.2500 0.0000  8 F 2.55-2.65
Na: 0.7500 0.7500 0.0000  8 F 2.55-2.65
Mo: 0.1575 0.6616 0.8191  6 F 1.88-2.10
Mo: 0.3425 0.1616 0.5042  6 F 1.88-2.10
Mo: 0.6575 0.8384 0.4958  6 F 1.88-2.10
Mo: 0.8425 0.3384 0.1809  6 F 1.88-2.10
F: 0.0000 0.5000 0.5000  2 Mo 2.10
F: 0.0712 0.3552 0.1772  1 Mo 1.91
F: 0.1132 0.9304 0.2953  1 Mo 1.91
F: 0.1352 0.4304 0.8173  1 Mo 1.91
F: 0.1780 0.8940 0.8228  1 Mo 1.91
F: 0.1992 0.3036 0.5028  1 Mo 1.88
F: 0.3008 0.8036 0.1045  1 Mo 1.88
F: 0.3220 0.1448 0.7160  1 Mo 1.91
F: 0.3648 0.1821 0.2953  1 Mo 1.91
F: 0.3868 0.6821 0.8173  1 Mo 1.91
F: 0.4288 0.6060 0.2840  1 Mo 1.91
F: 0.5000 0.0000 0.5000  2 Mo 2.10
F: 0.5712 0.3940 0.7160  1 Mo 1.91
F: 0.6132 0.3179 0.1827  1 Mo 1.91
F: 0.6352 0.8179 0.7047  1 Mo 1.91
F: 0.6780 0.8552 0.2840  1 Mo 1.91
F: 0.6992 0.1964 0.8955  1 Mo 1.88
F: 0.8008 0.6964 0.4972  1 Mo 1.88
F: 0.8220 0.1060 0.1772  1 Mo 1.91
F: 0.8648 0.5696 0.1827  1 Mo 1.91
F: 0.8868 0.0696 0.7047  1 Mo 1.91
F: 0.9288 0.6448 0.8228  1 Mo 1.91

Calculated volume = 16.3 Å³ per atom
Calculated total energy = -5.036 eV/atom
Total magnetic moment = 4.00 μB/cell

***

- calculated volume of number 2 (ZrMoN2F)?
  13.2 Å³ per atom